Material: PaV2GaO8
Method: DFT, PBE+U
State: optimized geometry

Theoretical density ... 6.3 g/cm3
Crystal system ... orthorhombic
Volume ... 140 Å³/cell
Calculated total energy ... -95.32 eV per formula unit

Cell: 4.678 4.678 6.394 Å, 90.00 90.00 91.14°
Sites, in units of the cell vectors:
Pa  0.000  0.000  0.000
V  0.500  0.500  0.270
V  0.500  0.500  0.730
Ga  0.000  0.000  0.500
O  0.209  0.209  0.270
O  0.209  0.209  0.730
O  0.309  0.691  0.500
O  0.317  0.683  0.000
O  0.683  0.317  0.000
O  0.691  0.309  0.500
O  0.791  0.791  0.270
O  0.791  0.791  0.730